# 1
The following is a PBE calculation of a geometry-optimized NaLa2ScSe4 structure, from Alexandria via LeMat-Bulk.

Computed properties:
* volume: 25.73 A^3/atom
* formation energy from raw total energies: -168.0 kJ/mol of atoms
* space-group type: P2/m (10)
* total energy: -5.67 eV/atom
* D(E_F): 3.175 states/eV per cell

Structure (POSCAR):
```
NaLa2ScSe4
1.0
-0.680 4.044 -0.865
-1.384 1.281 7.078
6.944 0.895 -1.273
Se La Na Sc
4 2 1 1
Cartesian
3.981 3.696 3.999
0.900 2.524 0.942
0.572 1.175 5.046
4.988 1.001 0.760
3.132 2.469 -1.069
2.780 1.088 2.903
-1.032 2.662 3.107
0.000 0.000 0.000
```

# 2
The following is a PBE calculation of a geometry-optimized NaLaSc2Tc structure, from Alexandria via LeMat-Bulk.

Computed properties:
* volume: 28.08 A^3/atom
* space-group type: P4/mmm (123)
* total energy: -4.35 eV/atom
* D(E_F): 8.641 states/eV per cell

Structure (POSCAR):
```
NaLaSc2Tc
1.0
5.034 0.000 0.000
0.000 5.540 0.000
0.000 0.000 5.034
Tc Sc La Na
1 2 1 1
Cartesian
2.517 2.770 2.517
0.000 0.000 2.517
2.517 0.000 0.000
0.000 2.770 0.000
0.000 0.000 0.000
```

# 3
The following is a PBE calculation of a geometry-optimized NaLaScTe3 structure, from Alexandria via LeMat-Bulk.

Computed properties:
* volume: 29.24 A^3/atom
* formation energy from raw total energies: -113.2 kJ/mol of atoms
* space-group type: P2_1/m (11)
* total energy: -4.84 eV/atom
* D(E_F): 6.178 states/eV per cell

Structure (POSCAR):
```
NaLaScTe3
1.0
4.464 0.000 0.000
0.000 8.232 -0.574
0.000 -2.767 9.742
Te Na La Sc
6 2 2 2
Cartesian
1.116 2.173 7.972
1.116 4.423 4.265
3.348 1.043 4.902
3.348 7.243 0.669
1.116 -1.777 8.498
3.348 3.292 1.195
1.116 -0.780 5.700
3.348 6.245 3.467
3.348 4.193 6.805
1.116 1.273 2.362
1.116 5.232 1.114
3.348 0.234 8.054
```

# 4
The following is a PBE calculation of a geometry-optimized NaLaScTl structure, from Alexandria via LeMat-Bulk.

Computed properties:
* volume: 28.14 A^3/atom
* space-group type: F-43m (216)
* total energy: -3.78 eV/atom
* D(E_F): 4.937 states/eV per cell

Structure (POSCAR):
```
NaLaScTl
1.0
5.420 0.000 0.000
2.710 4.694 0.000
2.710 1.565 4.425
La Sc Tl Na
1 1 1 1
Cartesian
8.130 4.694 3.319
2.710 1.565 1.106
5.420 3.129 2.213
0.000 0.000 0.000
```